[1]
Below is a geometry-optimized Mg8Tl2Pd structure, with properties calculated at the PBE-GGA level.

Cell lengths 4.9677, 6.6802, 8.4448 Å; angles 113.04, 107.11, 90.00 degrees
Fractional coordinates of all 11 atoms:
Mg1 0.3713 0.6033 0.7426
Mg2 0.1806 0.1892 0.3613
Mg3 0.8194 0.8108 0.6387
Mg4 0.3643 0.1196 0.7287
Mg5 0.6357 0.8804 0.2713
Mg6 0.9976 0.2320 0.9952
Mg7 0.6287 0.3967 0.2574
Mg8 0.0024 0.7680 0.0048
Pd1 0.5000 0.0000 0.0000
Tl1 0.8188 0.3193 0.6377
Tl2 0.1812 0.6807 0.3623

Computed properties:
The formation energy from the elements is -0.1578 eV/atom. Its symmetry is C2/m. The density of states at the Fermi level is 3.37 states/eV/cell. The value obtained for the relative energy among the computed polymorphs is 0 meV per atom. The value obtained for the calculated total energy is -24.42 eV/f.u. The calculated density is 4.82 g/cm³.

[2]
Below is a geometry-optimized Pr12Os3Au5 structure, with properties calculated at the PBE-GGA level.

Cell lengths 15.0443, 15.0443, 15.0443 Å; angles 109.47, 109.47, 109.47 degrees
Fractional coordinates of all 80 atoms:
Pr1 0.8672 0.2689 0.4389
Pr2 0.8300 0.9016 0.2689
Pr3 0.4389 0.7689 0.8672
Pr4 0.1328 0.7311 0.5611
Pr5 0.9284 0.0984 0.8672
Pr6 0.0984 0.1700 0.2311
Pr7 0.4389 0.6700 0.0716
Pr8 0.8300 0.9284 0.0611
Pr9 0.0716 0.9016 0.1328
Pr10 0.4016 0.1328 0.5716
Pr11 0.0611 0.6328 0.7311
Pr12 0.5611 0.2311 0.1328
Pr13 0.1700 0.0984 0.7311
Pr14 0.6328 0.5716 0.9016
Pr15 0.3672 0.4284 0.0984
Pr16 0.5716 0.9389 0.6700
Pr17 0.7689 0.4389 0.3672
Pr18 0.5984 0.7311 0.6700
Pr19 0.9284 0.8300 0.5611
Pr20 0.0611 0.4284 0.8300
Pr21 0.6700 0.2311 0.5984
Pr22 0.3300 0.5611 0.4284
Pr23 0.9389 0.3672 0.2689
Pr24 0.6700 0.4389 0.5716
Pr25 0.7311 0.5984 0.1700
Pr26 0.0984 0.9284 0.3672
Pr27 0.2311 0.6700 0.0984
Pr28 0.0716 0.1700 0.4389
Pr29 0.9389 0.5716 0.1700
Pr30 0.4016 0.2689 0.3300
Pr31 0.2311 0.5611 0.6328
Pr32 0.5984 0.8672 0.4284
Pr33 0.4284 0.3672 0.5984
Pr34 0.5611 0.3300 0.9284
Pr35 0.2689 0.4016 0.8300
Pr36 0.7311 0.1328 0.0611
Pr37 0.7689 0.3300 0.9016
Pr38 0.3672 0.9389 0.7689
Pr39 0.2689 0.8672 0.9389
Pr40 0.3300 0.7689 0.4016
Pr41 0.4284 0.0611 0.3300
Pr42 0.9016 0.0716 0.6328
Pr43 0.5716 0.6328 0.4016
Pr44 0.8672 0.5984 0.9284
Pr45 0.9016 0.8300 0.7689
Pr46 0.6328 0.0611 0.2311
Pr47 0.1328 0.4016 0.0716
Pr48 0.1700 0.0716 0.9389
Au1 0.3750 0.2500 0.1250
Au2 0.0000 0.5000 0.0000
Au3 0.2500 0.8750 0.1250
Au4 0.5000 0.5000 0.5000
Au5 0.7500 0.1250 0.8750
Au6 0.0000 0.0000 0.5000
Au7 0.0000 0.5000 0.5000
Au8 0.0000 0.0000 0.0000
Au9 0.1250 0.3750 0.2500
Au10 0.2500 0.3750 0.6250
Au11 0.7500 0.6250 0.3750
Au12 0.3750 0.1250 0.7500
Au13 0.8750 0.2500 0.6250
Au14 0.6250 0.7500 0.8750
Au15 0.5000 0.0000 0.5000
Au16 0.6250 0.8750 0.2500
Au17 0.5000 0.5000 0.0000
Au18 0.5000 0.0000 0.0000
Au19 0.8750 0.6250 0.7500
Au20 0.1250 0.7500 0.3750
Os1 0.2500 0.1250 0.3750
Os2 0.6250 0.3750 0.7500
Os3 0.6250 0.2500 0.3750
Os4 0.3750 0.7500 0.6250
Os5 0.1250 0.8750 0.7500
Os6 0.7500 0.8750 0.6250
Os7 0.2500 0.6250 0.8750
Os8 0.3750 0.6250 0.2500
Os9 0.7500 0.3750 0.1250
Os10 0.1250 0.2500 0.8750
Os11 0.8750 0.7500 0.1250
Os12 0.8750 0.1250 0.2500

Computed properties:
The formation energy from the elements is -0.0315 eV/atom. Its symmetry is Ia-3d. The density of states at the Fermi level is 71.76 states/eV/cell. The value obtained for the calculated total energy is -108.06 eV/f.u. The calculated density is 8.23 g/cm³.

[3]
Below is a geometry-optimized Rb2NaHg6Pd structure, with properties calculated at the PBE-GGA level.

Cell lengths 8.0203, 8.0244, 8.0596 Å; angles 59.84, 59.86, 89.95 degrees
Fractional coordinates of all 10 atoms:
Rb1 0.7500 0.2501 0.4998
Rb2 0.2500 0.7499 0.5002
Hg1 0.2598 0.2599 0.9997
Hg2 0.7402 0.7401 0.0003
Hg3 0.2596 0.7405 0.0000
Hg4 0.2595 0.2595 0.4808
Hg5 0.7405 0.7405 0.5192
Hg6 0.7404 0.2595 0.0000
Na1 0.0000 0.0000 0.0000
Pd1 0.5000 0.5000 0.0000

Computed properties:
The formation energy from the elements is -0.1636 eV/atom. Its symmetry is Immm. The density of states at the Fermi level is 4.88 states/eV/cell. The value obtained for the calculated total energy is -11.89 eV/f.u. The calculated density is 6.84 g/cm³.

[4]
Below is a geometry-optimized HgPd12Pt3 structure, with properties calculated at the PBE-GGA level.

Cell lengths 3.9710, 3.9710, 15.9481 Å; angles 90.00, 90.00, 90.00 degrees
Fractional coordinates of all 16 atoms:
Pd1 0.5000 0.0000 0.6226
Pd2 0.5000 0.5000 0.0000
Pd3 0.0000 0.5000 0.1311
Pd4 0.0000 0.5000 0.8689
Pd5 0.5000 0.0000 0.3774
Pd6 0.5000 0.0000 0.8689
Pd7 0.5000 0.5000 0.7460
Pd8 0.0000 0.5000 0.6226
Pd9 0.5000 0.0000 0.1311
Pd10 0.5000 0.5000 0.2540
Pd11 0.5000 0.5000 0.5000
Pd12 0.0000 0.5000 0.3774
Hg1 0.0000 0.0000 0.0000
Pt1 0.0000 0.0000 0.5000
Pt2 0.0000 0.0000 0.7448
Pt3 0.0000 0.0000 0.2552

Computed properties:
The formation energy from the elements is -0.0400 eV/atom. Its symmetry is P4/mmm. The density of states at the Fermi level is 35.24 states/eV/cell. The value obtained for the calculated total energy is -81.38 eV/f.u. The calculated density is 13.62 g/cm³.

[5]
Below is a geometry-optimized Li3PaV2Te6 structure, with properties calculated at the PBE-GGA level.

Cell lengths 7.0603, 7.0603, 7.4363 Å; angles 99.13, 99.13, 119.94 degrees
Fractional coordinates of all 12 atoms:
V1 0.6672 0.3328 0.0000
V2 0.3328 0.6672 0.0000
Te1 0.9201 0.5642 0.7596
Te2 0.4358 0.0799 0.2404
Te3 0.0799 0.4358 0.2404
Te4 0.7238 0.7238 0.2398
Te5 0.2762 0.2762 0.7602
Te6 0.5642 0.9201 0.7596
Li1 0.8420 0.1580 0.5000
Li2 0.5000 0.5000 0.5000
Li3 0.1580 0.8420 0.5000
Pa1 0.0000 0.0000 0.0000

Computed properties:
The value obtained for the uncorrected formation energy is -0.70 eV per atom. Its symmetry is C2/m. The density of states at the Fermi level is 1.12 states/eV/cell. The value obtained for the calculated total energy is -60.76 eV/f.u. The calculated density is 6.10 g/cm³.

[6]
Below is a geometry-optimized CdMoSe2 structure, with properties calculated at the PBE-GGA level.

Cell lengths 9.9671, 9.9671, 9.9671 Å; angles 18.74, 18.74, 18.74 degrees
Fractional coordinates of all 4 atoms:
Cd1 0.0000 0.0000 0.0000
Mo1 0.5000 0.5000 0.5000
Se1 0.8927 0.8927 0.8927
Se2 0.1073 0.1073 0.1073

Computed properties:
The value obtained for the uncorrected formation energy is -0.30 eV per atom. Its symmetry is R-3m. The density of states at the Fermi level is 2.27 states/eV/cell. The value obtained for the relative energy among the computed polymorphs is 0 meV per atom. The value obtained for the calculated total energy is -19.92 eV/f.u. The calculated density is 6.81 g/cm³.